[1]
Material: Li4MnAs
Method: DFT, GGA-PBE
State: optimized geometry

a b c (Å): 5.090 5.090 5.090
angles (deg): 60.00 60.00 60.00
Fractional positions:
Li  0.125  0.125  0.125
Li  0.125  0.125  0.625
Li  0.125  0.625  0.125
Li  0.625  0.125  0.125
Mn  0.750  0.750  0.750
As  0.500  0.500  0.500

Computed properties:
- calculated formation energy (eV/atom) = 0.109
- total magnetic moment (μB per formula unit) = 3.8
- DOS at the Fermi energy (states/eV/atom) = 0.49



[2]
Material: LiMnAs2
Method: DFT, GGA-PBE
State: optimized geometry

a b c (Å): 4.583 4.583 4.583
angles (deg): 60.00 60.00 60.00
Fractional positions:
Li  0.000  0.000  0.000
Mn  0.250  0.250  0.250
As  0.500  0.500  0.500
As  0.750  0.750  0.750

Computed properties:
- calculated formation energy (eV/atom) = 0.151
- total magnetic moment (μB per formula unit) = 3.9
- DOS at the Fermi energy (states/eV/atom) = 0.50



> What is the DOS at the Fermi energy in the second record?

0.50 states/eV/atom



Please write out number 1 again, unchanged.
Material: Li4MnAs
Method: DFT, GGA-PBE
State: optimized geometry

a b c (Å): 5.090 5.090 5.090
angles (deg): 60.00 60.00 60.00
Fractional positions:
Li  0.125  0.125  0.125
Li  0.125  0.125  0.625
Li  0.125  0.625  0.125
Li  0.625  0.125  0.125
Mn  0.750  0.750  0.750
As  0.500  0.500  0.500

Computed properties:
- calculated formation energy (eV/atom) = 0.109
- total magnetic moment (μB per formula unit) = 3.8
- DOS at the Fermi energy (states/eV/atom) = 0.49



Repeat the second record exactly.
Material: LiMnAs2
Method: DFT, GGA-PBE
State: optimized geometry

a b c (Å): 4.583 4.583 4.583
angles (deg): 60.00 60.00 60.00
Fractional positions:
Li  0.000  0.000  0.000
Mn  0.250  0.250  0.250
As  0.500  0.500  0.500
As  0.750  0.750  0.750

Computed properties:
- calculated formation energy (eV/atom) = 0.151
- total magnetic moment (μB per formula unit) = 3.9
- DOS at the Fermi energy (states/eV/atom) = 0.50